No. 1
{
  "formula": "HoCdFe",
  "functional": "GGA-PBE",
  "state": "relaxed",
  "e_form_ev_per_atom": -0.071,
  "dft_energy_ev_per_cell": -28.33,
  "n_ef_per_ev_cell": 6.414,
  "lattice": [[-1.678, -0.384, 3.399], [2.906, -4.017, 0.981], [4.426, 5.234, 0.642]],
  "species": ["Cd", "Cd", "Ho", "Ho", "Fe", "Fe"],
  "fractional_positions": [[0.430, 0.214, 0.859], [0.570, 0.786, 0.141], [0.862, 0.670, 0.724], [0.138, 0.330, 0.276], [0.767, 0.096, 0.534], [0.233, 0.904, 0.466]]
}

=====

No. 2
{
  "formula": "Ho5Cd2Fe2",
  "functional": "GGA-PBE",
  "state": "relaxed",
  "e_form_ev_per_atom": -0.123,
  "dft_energy_ev_per_cell": -85.51,
  "n_ef_per_ev_cell": 19.111,
  "lattice": [[6.693, 0.000, 2.429], [0.000, 7.231, 0.000], [0.460, 0.000, 9.165]],
  "species": ["Ho", "Fe", "Ho", "Ho", "Cd", "Cd", "Fe", "Cd", "Ho", "Ho", "Fe", "Ho", "Ho", "Cd", "Ho", "Ho", "Fe", "Ho"],
  "fractional_positions": [[0.066, 0.685, 0.239], [0.396, 0.892, 0.000], [0.305, 0.685, 0.761], [0.500, 0.500, 0.000], [0.728, 0.500, 0.545], [0.772, 0.000, 0.455], [0.896, 0.608, 0.000], [0.272, 0.500, 0.455], [0.195, 0.185, 0.239], [0.805, 0.815, 0.761], [0.104, 0.392, 0.000], [0.000, 0.000, 0.000], [0.566, 0.815, 0.239], [0.228, 0.000, 0.545], [0.695, 0.315, 0.239], [0.434, 0.185, 0.761], [0.604, 0.108, 0.000], [0.934, 0.315, 0.761]]
}

=====

No. 3
{
  "formula": "HoLuCdFe",
  "functional": "GGA-PBE",
  "state": "relaxed",
  "e_form_ev_per_atom": -0.020,
  "dft_energy_ev_per_cell": -18.56,
  "n_ef_per_ev_cell": 7.713,
  "lattice": [[-2.607, -3.726, -2.064], [2.286, -3.301, -2.970], [0.695, -4.695, 1.554]],
  "species": ["Lu", "Fe", "Ho", "Cd"],
  "fractional_positions": [[0.000, 0.000, 0.000], [0.250, 0.250, 0.250], [0.500, 0.500, 0.500], [0.750, 0.750, 0.750]]
}

=====

No. 4
{
  "formula": "CdFeI6",
  "functional": "GGA-PBE",
  "state": "relaxed",
  "dft_energy_ev_per_cell": -19.92,
  "n_ef_per_ev_cell": 5.273,
  "raw_formation_energy_ev_per_atom": -0.15,
  "lattice": [[-1.625, 6.754, -1.907], [-4.080, 1.212, -5.836], [-5.969, -0.287, 4.122]],
  "species": ["I", "I", "I", "I", "Fe", "I", "I", "Cd"],
  "fractional_positions": [[0.699, 0.300, 0.214], [0.999, 0.700, 0.214], [0.301, 0.000, 0.216], [0.301, 0.700, 0.786], [0.000, 0.000, 0.000], [0.699, 0.000, 0.784], [0.001, 0.300, 0.786], [0.000, 0.000, 0.500]]
}